Pr4ScCd5: optimized geometry, PBE.

* electronic total energy: -3.301 eV per atom
* total moment: 0.170 μB per atom
* volume: 27.80 Å³ per atom
* energy relative to the elements: -299 meV/atom

Structure (extended XYZ):
```
10
Lattice="3.770 0.000 0.000 0.000 3.770 0.000 0.000 0.000 19.562" Properties=species:S:1:pos:R:3 pbc="T T T"
Pr 0.000 0.000 2.030
Pr 0.000 0.000 6.092
Pr 0.000 0.000 13.469
Pr 0.000 0.000 17.532
Sc 0.000 0.000 9.781
Cd 1.885 1.885 0.000
Cd 1.885 1.885 4.039
Cd 1.885 1.885 8.188
Cd 1.885 1.885 11.374
Cd 1.885 1.885 15.523
```